[1]
Material: Tb2Cd3Hg3
Method: DFT, PBE
State: relaxed

Output
**Mass density**: 11.09 Mg/m³
**DFT formation energy**: -0.34 eV/atom

Cell: 4.963 6.640 11.426 Å, 90.00 90.00 90.00°
Space group Amm2 (No. 38)
One atom of each set of equivalent atoms:
Tb 0.000 0.000 0.000 (multiplicity 2)
Tb 0.500 0.000 0.334 (multiplicity 2)
Cd 0.000 0.238 0.745 (multiplicity 4)
Cd 0.500 0.000 0.821 (multiplicity 2)
Hg 0.000 0.000 0.493 (multiplicity 2)
Hg 0.500 0.246 0.082 (multiplicity 4)

***

[2]
Material: TlCuOsW
Method: DFT, PBE
State: relaxed

Output
**Mass density**: 16.51 Mg/m³
**Calculated total energy**: -6.871 eV/atom

Cell: 6.368 6.368 6.368 Å, 90.00 90.00 90.00°
Space group F-43m (No. 216)
One atom of each set of equivalent atoms:
Tl 0.000 0.000 0.000 (multiplicity 4)
Cu 0.250 0.250 0.250 (multiplicity 4)
Os 0.250 0.250 0.750 (multiplicity 4)
W 0.000 0.000 0.500 (multiplicity 4)

***

[3]
Material: Tc
Method: DFT, PBE
State: relaxed

Output
**Mass density**: 11.31 Mg/m³
**DFT formation energy**: 0.01 eV/atom

Cell: 2.713 4.805 4.413 Å, 90.00 90.00 90.00°
Space group Cmcm (No. 63)
One atom of each set of equivalent atoms:
Tc 0.000 0.164 0.250 (multiplicity 4)

***

Q: Which of these has the highest mass density?
A: TlCuOsW

***

Q: Which of these has the lowest mass density?
A: Tb2Cd3Hg3

***

Q: Which formula does entry 3 have?
A: Tc